An optimized crystal structure of Ca5MgGa6, computed with PBE.

## Properties
D(E_F)   4.96 states/eV per cell
M_tot   0.00 μB per formula unit
ΔH_f (0 K)   -0.40 eV/atom
VASP energy   -2.8815 eV per atom

The structure in extended XYZ format:
```
12
Lattice="-1.8209 -4.4432 -2.0144 -0.6727 6.1974 -6.2958 7.8584 -1.8155 3.6670" Properties=species:S:1:pos:R:3 pbc="T T T"
Ca 2.2320 3.4692 -2.9037
Ca 5.4102 -2.5928 0.8640
Ca 2.6824 -0.0306 -2.3216
Ca -0.0454 2.5315 -5.5072
Ca 4.9538 0.9127 0.2749
Ga 2.8579 1.2189 -5.1967
Ga -0.1768 1.2407 -2.5806
Ga 0.2092 -2.2347 -1.9765
Ga 2.5070 -1.2801 0.5536
Ga 5.1556 2.1735 -2.6666
Ga 5.5417 -1.3019 -2.0626
Mg 0.0000 0.0000 0.0000
```